(1)
DFT (GGA-PBE) results for Ti3InO after structural relaxation.

Crystal system   orthorhombic
Energy   -7.2106 eV per atom
D(E_F)   18.6 states/eV/cell

Unit cell a=4.5337 b=12.8731 c=5.8778 alpha=90.00 beta=90.00 gamma=90.00
Atoms (fractional coordinates):
Ti1 0.0001 0.8658 0.8709
Ti2 0.4999 0.3658 0.3709
Ti3 0.4999 0.1342 0.3709
Ti4 0.9999 0.3658 0.1291
Ti5 0.9999 0.1342 0.1291
Ti6 0.5001 0.6342 0.6291
Ti7 0.5001 0.8658 0.6291
Ti8 0.0001 0.6342 0.8709
Ti9 0.4999 0.2500 0.9411
Ti10 0.0001 0.7500 0.4411
Ti11 0.5001 0.7500 0.0589
Ti12 0.9999 0.2500 0.5589
O1 0.4998 0.2500 0.5943
O2 0.0002 0.7500 0.0943
O3 0.5002 0.7500 0.4057
O4 0.9998 0.2500 0.9057
In1 0.0000 0.0000 0.5000
In2 0.5000 0.5000 0.0000
In3 0.5000 0.0000 0.0000
In4 0.0000 0.5000 0.5000

---

(2)
DFT (GGA-PBE) results for Ti3InO after structural relaxation.

Crystal system   orthorhombic
Energy   -7.3915 eV per atom
D(E_F)   8.5 states/eV/cell

Unit cell a=5.8007 b=4.8825 c=5.4994 alpha=90.00 beta=90.02 gamma=90.00
Atoms (fractional coordinates):
In1 0.7792 0.8294 0.0672
In2 0.2797 0.3294 0.8086
O1 0.7796 0.5480 0.5034
O2 0.2794 0.0480 0.3724
Ti1 0.2792 0.8035 0.0873
Ti2 0.5330 0.3370 0.3048
Ti3 0.7797 0.3034 0.7885
Ti4 0.0329 0.8372 0.5710
Ti5 0.5260 0.8370 0.5710
Ti6 0.0261 0.3373 0.3048

---

(3)
DFT (GGA-PBE) results for Ti6In2O after structural relaxation.

Crystal system   tetragonal
Energy relative to the lowest polymorph listed for this composition   0.010 eV per atom
Energy   -7.1446 eV per atom
D(E_F)   8.4 states/eV/cell

Unit cell a=5.9246 b=5.9244 c=8.3574 alpha=90.00 beta=90.00 gamma=90.00
Atoms (fractional coordinates):
Ti1 0.0000 0.0000 0.2397
Ti2 0.7404 0.7403 0.5000
Ti3 0.7596 0.7597 0.0000
Ti4 0.7404 0.2597 0.5000
Ti5 0.7596 0.2403 0.0000
Ti6 0.5000 0.5000 0.2603
Ti7 0.0000 0.0000 0.7603
Ti8 0.2596 0.2597 0.5000
Ti9 0.2404 0.2403 0.0000
Ti10 0.2596 0.7403 0.5000
Ti11 0.2404 0.7597 0.0000
Ti12 0.5000 0.5000 0.7397
In1 0.0000 0.5000 0.7501
In2 0.5000 0.0000 0.7499
In3 0.5000 0.0000 0.2501
In4 0.0000 0.5000 0.2499
O1 0.5000 0.5000 0.0000
O2 0.0000 0.0000 0.5000

---

no.,E_form (uncorrected) (eV/atom)
1,-0.934
2,-1.115
3,-0.722